Density functional theory data (GGA-PBE) for a relaxed BeZn2As crystal.

Lattice parameters (Å, degrees): 2.6276 3.3735 6.9633 90.00 90.00 90.00
Positions (direct):
1 Zn 0.5000 0.5000 0.2095
2 Be 0.5000 0.5000 0.7567
3 As 0.0000 0.0000 0.5647
4 Zn 0.0000 0.0000 0.9691

Values from the calculation:
- E_form (eV/atom) = 0.244
- polymorph energy (0 for the lowest one) (meV per atom) = 69
- total energy (eV per formula unit) = -9.95

---

Density functional theory data (GGA-PBE) for a relaxed TbPu5Ir5 crystal.

Lattice parameters (Å, degrees): 5.5720 6.8332 8.0100 106.55 90.00 114.06
Each line ends with the local moment (μB).
Positions (direct):
1 Ir 0.8206 0.6412 0.6508  0.25
2 Pu 0.3418 0.6836 0.6708  -4.80
3 Pu 0.3309 0.6617 0.1570  -4.86
4 Ir 0.1681 0.3362 0.8177  0.19
5 Ir 0.1794 0.3588 0.3492  0.25
6 Ir 0.5000 0.0000 0.0000  0.27
7 Pu 0.0000 0.0000 0.5000  4.92
8 Pu 0.6582 0.3164 0.3292  -4.80
9 Tb 0.0000 0.0000 0.0000  -0.04
10 Pu 0.6691 0.3383 0.8430  -4.86
11 Ir 0.8319 0.6638 0.1823  0.19

Values from the calculation:
- E_form (eV/atom) = -0.306
- total energy (eV per formula unit) = -123.96

---

Density functional theory data (GGA-PBE) for a relaxed Sn3As crystal.

Lattice parameters (Å, degrees): 3.8351 5.2984 6.1190 115.65 108.26 90.00
Positions (direct):
1 Sn 0.2887 0.6610 0.5773
2 As 0.0000 0.0061 0.0000
3 Sn 0.7113 0.0836 0.4227
4 Sn 0.5000 0.4159 0.0000

Values from the calculation:
- E_form (eV/atom) = 0.066
- polymorph energy (0 for the lowest one) (meV per atom) = 40
- total energy (eV per formula unit) = -16.39

---

Density functional theory data (GGA-PBE) for a relaxed LaBe2Al crystal.

Lattice parameters (Å, degrees): 3.9146 3.9146 5.9355 70.76 70.76 60.00
Positions (direct):
1 Be 0.0149 0.0149 0.9554
2 La 0.4947 0.4947 0.5160
3 Al 0.2998 0.2998 0.1004
4 Be 0.6905 0.6905 0.9282

Values from the calculation:
- E_form (eV/atom) = -0.111
- total energy (eV per formula unit) = -16.57

---

Density functional theory data (GGA-PBE) for a relaxed VCrGe2 crystal.

Lattice parameters (Å, degrees): 5.3249 4.5524 9.0938 90.00 90.00 90.00
Positions (direct):
1 Cr 0.8657 0.0000 0.1268
2 Cr 0.1343 0.0000 0.8732
3 Cr 0.8657 0.5000 0.3732
4 Ge 0.6363 0.5000 0.1274
5 V 0.1227 0.0000 0.3754
6 Ge 0.6473 0.0000 0.8779
7 Ge 0.6474 0.5000 0.6221
8 Ge 0.3526 0.5000 0.3779
9 V 0.1227 0.5000 0.1246
10 Ge 0.3637 0.0000 0.6274
11 V 0.8773 0.5000 0.8754
12 Cr 0.1343 0.5000 0.6268
13 V 0.8773 0.0000 0.6246
14 Ge 0.3637 0.5000 0.8726
15 Ge 0.6363 0.0000 0.3726
16 Ge 0.3527 0.0000 0.1221

Values from the calculation:
- E_form (eV/atom) = -0.069
- polymorph energy (0 for the lowest one) (meV per atom) = 0
- total energy (eV per formula unit) = -28.25

---

Density functional theory data (GGA-PBE) for a relaxed SiAg2P crystal.

Lattice parameters (Å, degrees): 4.6272 4.6272 4.6272 60.00 60.00 60.00
Positions (direct):
1 Ag 0.0000 0.0000 0.0000
2 Ag 0.2500 0.2500 0.2500
3 P 0.5000 0.5000 0.5000
4 Si 0.7500 0.7500 0.7500

Values from the calculation:
- polymorph energy (0 for the lowest one) (meV per atom) = 339
- total energy (eV per formula unit) = -14.53
- formation energy from raw total energies (eV per atom) = 0.501

---

Density functional theory data (GGA-PBE) for a relaxed Cd2Au5 crystal.

Lattice parameters (Å, degrees): 5.0387 7.7963 7.1435 93.35 110.65 90.00
Positions (direct):
1 Au 0.5336 0.8186 0.4256
2 Cd 0.7580 0.6050 0.1522
3 Au 0.4664 0.1814 0.5744
4 Au 0.8231 0.2500 0.0000
5 Au 0.0370 0.0370 0.7152
6 Au 0.6783 0.5370 0.7152
7 Cd 0.6058 0.8950 0.8478
8 Au 0.9630 0.9630 0.2848
9 Au 0.8921 0.3186 0.4256
10 Cd 0.2420 0.3950 0.8478
11 Au 0.1079 0.6814 0.5744
12 Au 0.1769 0.7500 0.0000
13 Cd 0.3942 0.1050 0.1522
14 Au 0.3217 0.4630 0.2848

Values from the calculation:
- E_form (eV/atom) = -0.124
- polymorph energy (0 for the lowest one) (meV per atom) = 6
- total energy (eV per formula unit) = -19.09

---

Density functional theory data (GGA-PBE) for a relaxed PmSmGeRu crystal.

Lattice parameters (Å, degrees): 5.0508 5.0508 5.0508 60.00 60.00 60.00
Positions (direct):
1 Ge 0.2500 0.2500 0.2500
2 Ru 0.7500 0.7500 0.7500
3 Sm 0.5000 0.5000 0.5000
4 Pm 0.0000 0.0000 0.0000

Values from the calculation:
- E_form (eV/atom) = -0.367
- polymorph energy (0 for the lowest one) (meV per atom) = 195
- total energy (eV per formula unit) = -24.83

---

Density functional theory data (GGA-PBE) for a relaxed Ca2La4Ru crystal.

Lattice parameters (Å, degrees): 5.5838 5.5838 10.0898 73.94 73.94 90.00
Positions (direct):
1 La 0.0000 0.5000 0.0000
2 La 0.8510 0.8510 0.2981
3 La 0.5000 0.0000 0.0000
4 Ru 0.0000 0.0000 0.0000
5 Ca 0.3481 0.3481 0.3037
6 Ca 0.6519 0.6519 0.6963
7 La 0.1490 0.1490 0.7019

Values from the calculation:
- E_form (eV/atom) = 0.070
- total energy (eV per formula unit) = -32.50

---

Density functional theory data (GGA-PBE) for a relaxed ZrRe2Rh crystal.

Lattice parameters (Å, degrees): 4.7077 4.7077 4.7077 126.58 126.58 78.94
Positions (direct):
1 Zr 0.7500 0.2500 0.5000
2 Re 0.0000 0.0000 0.0000
3 Re 0.2500 0.7500 0.5000
4 Rh 0.5000 0.5000 0.0000

Values from the calculation:
- E_form (eV/atom) = -0.047
- polymorph energy (0 for the lowest one) (meV per atom) = 78
- total energy (eV per formula unit) = -40.98

---

Density functional theory data (GGA-PBE) for a relaxed Cs3BSe crystal.

Lattice parameters (Å, degrees): 6.9322 6.9322 6.9322 90.00 90.00 90.00
Each line ends with the local moment (μB).
Positions (direct):
1 Cs 0.0000 0.0000 0.5000  0.01
2 Se 0.0000 0.0000 0.0000  0.02
3 B 0.5000 0.5000 0.5000  0.55
4 Cs 0.5000 0.0000 0.0000  0.01
5 Cs 0.0000 0.5000 0.0000  0.01

Values from the calculation:
- polymorph energy (0 for the lowest one) (meV per atom) = 0
- total energy (eV per formula unit) = -10.79
- formation energy from raw total energies (eV per atom) = 0.387

---

Density functional theory data (GGA-PBE) for a relaxed BaGa2GeS6 crystal.

Lattice parameters (Å, degrees): 7.0241 9.9716 9.9716 86.73 62.87 62.87
Positions (direct):
1 Ga 0.6237 0.1739 0.3376
2 S 0.5985 0.1197 0.5749
3 Ge 0.2500 0.2012 0.7988
4 S 0.2441 0.3122 0.3621
5 S 0.9272 0.9430 0.1810
6 Ba 0.7500 0.3479 0.6521
7 Ga 0.1237 0.3376 0.1739
8 S 0.7559 0.6878 0.6379
9 S 0.5728 0.8190 0.0570
10 S 0.9015 0.4251 0.8803
11 Ge 0.7500 0.7988 0.2012
12 Ba 0.2500 0.6521 0.3479
13 S 0.7441 0.3621 0.3122
14 Ga 0.8763 0.6624 0.8261
15 S 0.4015 0.8803 0.4251
16 S 0.0728 0.0570 0.8190
17 S 0.2559 0.6379 0.6878
18 S 0.0985 0.5749 0.1197
19 Ga 0.3763 0.8261 0.6624
20 S 0.4272 0.1810 0.9430

Values from the calculation:
- total energy (eV per formula unit) = -46.09
- formation energy from raw total energies (eV per atom) = -0.873